A plane-wave DFT calculation with PBE-GGA was carried out for a relaxed MgIr2W crystal.

Unit cell a=4.9932 b=4.9932 c=4.9932 alpha=135.16 beta=135.16 gamma=65.29
With the nearest neighbours (Å) after each atom.
Atoms (fractional coordinates):
Mg1 0.0000 0.0000 0.0000  8 Ir 2.69-2.84, 4 W 2.84
Ir1 0.2500 0.7500 0.5000  4 W 2.69, 4 Ir 2.84, 4 Mg 2.84
Ir2 0.5000 0.5000 0.0000  4 Mg 2.69, 4 Ir 2.84, 4 W 2.84
W1 0.7500 0.2500 0.5000  8 Ir 2.69-2.84, 4 Mg 2.84

Total DFT energy (no corrections)   -32.613 eV for the cell shown
Space group   I-4m2, No. 119
Theoretical density   16.1 g cm⁻³